(1)
# LuInFeRe

A relaxed LuInFeRe crystal (PBE-GGA, OQMD).

The energy comes out at -6.606 eV/atom. Its space group is F-43m, No. 216. The spin magnetization is 0.72 μB/atom.

The structure in POSCAR format:
```
LuInFeRe
1.0
0.0000 3.2580 3.2580
3.2580 0.0000 3.2580
3.2580 3.2580 0.0000
Fe In Lu Re
1 1 1 1
Cartesian
4.8869 4.8869 4.8869
0.0000 0.0000 0.0000
3.2580 3.2580 3.2580
1.6290 1.6290 1.6290
```

=====

(2)
# HoH2F4

A relaxed HoH2F4 crystal (PBE-GGA, OQMD).

The energy comes out at -4.904 eV/atom. Its space group is Fddd, No. 70. The spin magnetization is 0.13 μB/atom.

The structure in POSCAR format:
```
HoH2F4
1.0
5.4671 1.8959 3.9367
0.1223 2.0755 5.4477
3.4478 -3.4300 2.6888
F H Ho
8 4 2
Cartesian
3.6491 0.6783 4.7748
5.9816 0.8800 5.9844
6.2082 1.8498 8.7304
3.3554 0.6975 7.0261
7.9411 -0.0208 8.0654
5.0882 -1.1731 6.3611
5.3149 -0.2033 9.1071
7.6473 -0.0016 10.3167
3.4160 0.7233 5.8889
5.6752 0.8587 8.9072
5.6212 -0.1820 6.1843
7.8805 -0.0466 9.2026
0.0000 0.0000 0.0000
2.2593 0.1353 3.0183
```

=====

(3)
# Zr2Sn3Mo4N3

A relaxed Zr2Sn3Mo4N3 crystal (PBE-GGA, OQMD).

The energy comes out at -8.520 eV/atom. Its space group is C2/c, No. 15. The spin magnetization is 0.00 μB/atom.

The structure in POSCAR format:
```
Zr2Sn3Mo4N3
1.0
-5.2450 -0.6996 2.0009
-4.0760 -1.9306 -3.4150
6.1459 -11.7802 4.0042
Mo N Sn Zr
8 6 6 4
Cartesian
-6.7269 -3.0871 -1.2964
-0.4699 -1.2827 -0.2023
-5.6239 -7.4000 0.0756
0.6935 -5.6591 0.8900
-3.8686 -8.7512 1.7001
2.4488 -7.0103 2.5144
-2.7052 -13.1276 2.7923
3.5518 -11.3231 3.8864
-2.0380 -0.9653 -1.7075
-5.1249 -1.8268 -2.1260
-0.5591 -7.2874 0.1007
0.4504 -6.2399 3.0025
-2.6161 -7.1229 2.4893
1.9498 -12.5835 4.7161
-4.9644 -4.5910 0.5915
-2.5991 -4.8128 -2.1379
-1.5272 -3.6728 1.1247
-1.6479 -10.7375 1.4653
-0.5760 -9.5974 4.7279
1.7892 -9.8193 1.9985
-3.4479 -2.3438 -0.7376
-2.5934 -6.3942 0.3674
-0.5817 -8.0161 2.2226
0.2727 -12.0665 3.3277
```

=====

(4)
# Pm2S

A relaxed Pm2S crystal (PBE-GGA, OQMD).

Its energy above the most stable polymorph in this dataset is 0 kJ/mol of formula units. The energy comes out at -5.793 eV/atom. Its space group is P4_2/mnm, No. 136. The spin magnetization is 0.00 μB/atom.

The structure in POSCAR format:
```
Pm2S
1.0
-2.7783 -4.7554 3.6922
4.8782 0.6050 4.4499
-2.1435 2.7830 1.9714
Pm S
4 2
Cartesian
0.6170 -1.2194 2.3923
1.4829 -2.9309 5.7499
-2.2714 -2.2586 4.8341
2.2277 0.8913 5.2794
0.0000 0.0000 0.0000
-0.0218 -0.6837 5.0568
```